[1]
DFT (PBE) results for a relaxed structure of NaMg3As.

Cell and atoms, written as CIF:
```
data_NaMg3As
_chemical_formula_sum 'Na1 Mg3 As1'
_cell_length_a 5.232
_cell_length_b 5.232
_cell_length_c 5.232
_cell_angle_alpha 90.00
_cell_angle_beta 90.00
_cell_angle_gamma 90.00
_symmetry_space_group_name_H-M 'P 1'
_symmetry_Int_Tables_number 1
loop_
_symmetry_equiv_pos_as_xyz
'x,y,z'
loop_
_atom_site_label
_atom_site_type_symbol
_atom_site_fract_x
_atom_site_fract_y
_atom_site_fract_z
_atom_site_occupancy
Na1 Na 0.000 0.000 0.000 1
Mg1 Mg 0.000 0.500 0.500 1
Mg2 Mg 0.500 0.000 0.500 1
Mg3 Mg 0.500 0.500 0.000 1
As1 As 0.500 0.500 0.500 1
```

Computed properties:
Theoretical density (g cm⁻³): 2.0
DFT formation energy (eV per atom): 0.04
Size of the total moment (μB per formula unit): 0.00

[2]
DFT (PBE) results for a relaxed structure of Na3MgAs.

Cell and atoms, written as CIF:
```
data_Na3MgAs
_chemical_formula_sum 'Na3 Mg1 As1'
_cell_length_a 5.527
_cell_length_b 5.527
_cell_length_c 5.527
_cell_angle_alpha 90.00
_cell_angle_beta 90.00
_cell_angle_gamma 90.00
_symmetry_space_group_name_H-M 'P 1'
_symmetry_Int_Tables_number 1
loop_
_symmetry_equiv_pos_as_xyz
'x,y,z'
loop_
_atom_site_label
_atom_site_type_symbol
_atom_site_fract_x
_atom_site_fract_y
_atom_site_fract_z
_atom_site_occupancy
Na1 Na 0.000 0.000 0.500 1
Na2 Na 0.000 0.500 0.000 1
Na3 Na 0.500 0.000 0.000 1
Mg1 Mg 0.000 0.000 0.000 1
As1 As 0.500 0.500 0.500 1
```

Computed properties:
Theoretical density (g cm⁻³): 1.7
DFT formation energy (eV per atom): 0.52
Size of the total moment (μB per formula unit): 0.00

[3]
DFT (PBE) results for a relaxed structure of NaMgAs.

Cell and atoms, written as CIF:
```
data_NaMgAs
_chemical_formula_sum 'Na4 Mg4 As4'
_cell_length_a 8.082
_cell_length_b 7.962
_cell_length_c 6.632
_cell_angle_alpha 66.53
_cell_angle_beta 64.64
_cell_angle_gamma 48.82
_symmetry_space_group_name_H-M 'P 1'
_symmetry_Int_Tables_number 1
loop_
_symmetry_equiv_pos_as_xyz
'x,y,z'
loop_
_atom_site_label
_atom_site_type_symbol
_atom_site_fract_x
_atom_site_fract_y
_atom_site_fract_z
_atom_site_occupancy
Na1 Na 0.009 0.009 0.241 1
Na2 Na 0.241 0.241 0.009 1
Na3 Na 0.759 0.759 0.991 1
Na4 Na 0.991 0.991 0.759 1
Mg1 Mg 0.247 0.247 0.503 1
Mg2 Mg 0.497 0.497 0.753 1
Mg3 Mg 0.503 0.503 0.247 1
Mg4 Mg 0.753 0.753 0.497 1
As1 As 0.152 0.598 0.152 1
As2 As 0.402 0.848 0.402 1
As3 As 0.598 0.152 0.598 1
As4 As 0.848 0.402 0.848 1
```

Computed properties:
Theoretical density (g cm⁻³): 2.8
DFT formation energy (eV per atom): -0.56
Size of the total moment (μB per formula unit): 0.00

[4]
DFT (PBE) results for a relaxed structure of NaMg2As2.

Cell and atoms, written as CIF:
```
data_NaMg2As2
_chemical_formula_sum 'Na2 Mg4 As4'
_cell_length_a 8.035
_cell_length_b 8.035
_cell_length_c 3.289
_cell_angle_alpha 90.00
_cell_angle_beta 90.00
_cell_angle_gamma 90.00
_symmetry_space_group_name_H-M 'P 1'
_symmetry_Int_Tables_number 1
loop_
_symmetry_equiv_pos_as_xyz
'x,y,z'
loop_
_atom_site_label
_atom_site_type_symbol
_atom_site_fract_x
_atom_site_fract_y
_atom_site_fract_z
_atom_site_occupancy
Na1 Na 0.000 0.000 0.000 1
Na2 Na 0.500 0.500 0.000 1
Mg1 Mg 0.136 0.364 0.500 1
Mg2 Mg 0.364 0.864 0.500 1
Mg3 Mg 0.636 0.136 0.500 1
Mg4 Mg 0.864 0.636 0.500 1
As1 As 0.163 0.663 0.000 1
As2 As 0.337 0.163 0.000 1
As3 As 0.663 0.837 0.000 1
As4 As 0.837 0.337 0.000 1
```

Computed properties:
Theoretical density (g cm⁻³): 3.5
DFT formation energy (eV per atom): -0.40
Size of the total moment (μB per formula unit): 0.00

[5]
DFT (PBE) results for a relaxed structure of Na3MgAs.

Cell and atoms, written as CIF:
```
data_Na3MgAs
_chemical_formula_sum 'Na3 Mg1 As1'
_cell_length_a 5.609
_cell_length_b 5.609
_cell_length_c 5.609
_cell_angle_alpha 90.00
_cell_angle_beta 90.00
_cell_angle_gamma 90.00
_symmetry_space_group_name_H-M 'P 1'
_symmetry_Int_Tables_number 1
loop_
_symmetry_equiv_pos_as_xyz
'x,y,z'
loop_
_atom_site_label
_atom_site_type_symbol
_atom_site_fract_x
_atom_site_fract_y
_atom_site_fract_z
_atom_site_occupancy
Na1 Na 0.000 0.000 0.500 1
Na2 Na 0.000 0.500 0.000 1
Na3 Na 0.500 0.000 0.000 1
Mg1 Mg 0.500 0.500 0.500 1
As1 As 0.000 0.000 0.000 1
```

Computed properties:
Theoretical density (g cm⁻³): 1.6
DFT formation energy (eV per atom): -0.06
Size of the total moment (μB per formula unit): 0.00

[6]
DFT (PBE) results for a relaxed structure of Na2MgNiAs.

Cell and atoms, written as CIF:
```
data_Na2MgNiAs
_chemical_formula_sum 'Na2 Mg1 Ni1 As1'
_cell_length_a 5.507
_cell_length_b 5.507
_cell_length_c 4.934
_cell_angle_alpha 90.00
_cell_angle_beta 90.00
_cell_angle_gamma 90.00
_symmetry_space_group_name_H-M 'P 1'
_symmetry_Int_Tables_number 1
loop_
_symmetry_equiv_pos_as_xyz
'x,y,z'
loop_
_atom_site_label
_atom_site_type_symbol
_atom_site_fract_x
_atom_site_fract_y
_atom_site_fract_z
_atom_site_occupancy
Na1 Na 0.000 0.500 0.000 1
Na2 Na 0.500 0.000 0.000 1
Mg1 Mg 0.000 0.000 0.500 1
Ni1 Ni 0.500 0.500 0.500 1
As1 As 0.000 0.000 0.000 1
```

Computed properties:
Theoretical density (g cm⁻³): 2.3
DFT formation energy (eV per atom): 0.39
Size of the total moment (μB per formula unit): 1.00

[7]
DFT (PBE) results for a relaxed structure of Na2MgNiAs2.

Cell and atoms, written as CIF:
```
data_Na2MgNiAs2
_chemical_formula_sum 'Na4 Mg2 Ni2 As4'
_cell_length_a 8.292
_cell_length_b 8.292
_cell_length_c 8.292
_cell_angle_alpha 139.25
_cell_angle_beta 60.07
_cell_angle_gamma 137.84
_symmetry_space_group_name_H-M 'P 1'
_symmetry_Int_Tables_number 1
loop_
_symmetry_equiv_pos_as_xyz
'x,y,z'
loop_
_atom_site_label
_atom_site_type_symbol
_atom_site_fract_x
_atom_site_fract_y
_atom_site_fract_z
_atom_site_occupancy
Na1 Na 0.180 0.242 0.422 1
Na2 Na 0.320 0.742 0.062 1
Na3 Na 0.680 0.258 0.938 1
Na4 Na 0.820 0.758 0.578 1
Mg1 Mg 0.250 0.250 0.000 1
Mg2 Mg 0.750 0.750 0.000 1
Ni1 Ni 0.250 0.750 0.500 1
Ni2 Ni 0.750 0.250 0.500 1
As1 As 0.104 0.713 0.817 1
As2 As 0.396 0.213 0.609 1
As3 As 0.604 0.787 0.391 1
As4 As 0.896 0.287 0.183 1
```

Computed properties:
Theoretical density (g cm⁻³): 3.7
DFT formation energy (eV per atom): -0.42
Size of the total moment (μB per formula unit): 0.00

[8]
DFT (PBE) results for a relaxed structure of NaMgAs2O6.

Cell and atoms, written as CIF:
```
data_NaMgAs2O6
_chemical_formula_sum 'Na2 Mg2 As4 O12'
_cell_length_a 7.305
_cell_length_b 7.305
_cell_length_c 6.135
_cell_angle_alpha 107.43
_cell_angle_beta 107.43
_cell_angle_gamma 87.66
_symmetry_space_group_name_H-M 'P 1'
_symmetry_Int_Tables_number 1
loop_
_symmetry_equiv_pos_as_xyz
'x,y,z'
loop_
_atom_site_label
_atom_site_type_symbol
_atom_site_fract_x
_atom_site_fract_y
_atom_site_fract_z
_atom_site_occupancy
Na1 Na 0.116 0.884 0.750 1
Na2 Na 0.884 0.116 0.250 1
Mg1 Mg 0.215 0.785 0.250 1
Mg2 Mg 0.785 0.215 0.750 1
As1 As 0.223 0.385 0.804 1
As2 As 0.385 0.223 0.304 1
As3 As 0.615 0.777 0.696 1
As4 As 0.777 0.615 0.196 1
O1 O 0.031 0.217 0.675 1
O2 O 0.152 0.613 0.916 1
O3 O 0.217 0.031 0.175 1
O4 O 0.322 0.388 0.556 1
O5 O 0.387 0.848 0.584 1
O6 O 0.388 0.322 0.056 1
O7 O 0.612 0.678 0.944 1
O8 O 0.613 0.152 0.416 1
O9 O 0.678 0.612 0.444 1
O10 O 0.783 0.969 0.825 1
O11 O 0.848 0.387 0.084 1
O12 O 0.969 0.783 0.325 1
```

Computed properties:
Theoretical density (g cm⁻³): 3.3
E_form (uncorrected) (eV/atom): -1.5646
Size of the total moment (μB per formula unit): 0.00

[9]
DFT (PBE) results for a relaxed structure of Na2Mg2AsO6.

Cell and atoms, written as CIF:
```
data_Na2Mg2AsO6
_chemical_formula_sum 'Na2 Mg2 As1 O6'
_cell_length_a 5.219
_cell_length_b 5.219
_cell_length_c 5.792
_cell_angle_alpha 99.31
_cell_angle_beta 99.31
_cell_angle_gamma 119.20
_symmetry_space_group_name_H-M 'P 1'
_symmetry_Int_Tables_number 1
loop_
_symmetry_equiv_pos_as_xyz
'x,y,z'
loop_
_atom_site_label
_atom_site_type_symbol
_atom_site_fract_x
_atom_site_fract_y
_atom_site_fract_z
_atom_site_occupancy
Na1 Na 0.168 0.832 0.000 1
Na2 Na 0.832 0.168 0.000 1
Mg1 Mg 0.339 0.661 0.500 1
Mg2 Mg 0.661 0.339 0.500 1
As1 As 0.000 0.000 0.500 1
O1 O 0.059 0.364 0.688 1
O2 O 0.229 0.229 0.314 1
O3 O 0.364 0.059 0.688 1
O4 O 0.636 0.941 0.312 1
O5 O 0.771 0.771 0.686 1
O6 O 0.941 0.636 0.312 1
```

Computed properties:
Theoretical density (g cm⁻³): 3.4
E_form (uncorrected) (eV/atom): -1.8199
Size of the total moment (μB per formula unit): 1.08

[10]
DFT (PBE) results for a relaxed structure of Na2MgAs2O6.

Cell and atoms, written as CIF:
```
data_Na2MgAs2O6
_chemical_formula_sum 'Na2 Mg1 As2 O6'
_cell_length_a 5.470
_cell_length_b 5.470
_cell_length_c 5.948
_cell_angle_alpha 90.00
_cell_angle_beta 90.00
_cell_angle_gamma 120.00
_symmetry_space_group_name_H-M 'P 1'
_symmetry_Int_Tables_number 1
loop_
_symmetry_equiv_pos_as_xyz
'x,y,z'
loop_
_atom_site_label
_atom_site_type_symbol
_atom_site_fract_x
_atom_site_fract_y
_atom_site_fract_z
_atom_site_occupancy
Na1 Na 0.333 0.667 0.407 1
Na2 Na 0.667 0.333 0.593 1
Mg1 Mg 0.000 0.000 0.000 1
As1 As 0.333 0.667 0.907 1
As2 As 0.667 0.333 0.093 1
O1 O 0.064 0.713 0.790 1
O2 O 0.287 0.351 0.790 1
O3 O 0.351 0.064 0.210 1
O4 O 0.649 0.936 0.790 1
O5 O 0.713 0.649 0.210 1
O6 O 0.936 0.287 0.210 1
```

Computed properties:
Theoretical density (g cm⁻³): 3.4
E_form (uncorrected) (eV/atom): -1.5149
Size of the total moment (μB per formula unit): 2.00

[11]
DFT (PBE) results for a relaxed structure of NaMgAsO4.

Cell and atoms, written as CIF:
```
data_NaMgAsO4
_chemical_formula_sum 'Na1 Mg1 As1 O4'
_cell_length_a 5.434
_cell_length_b 5.434
_cell_length_c 5.434
_cell_angle_alpha 121.46
_cell_angle_beta 121.46
_cell_angle_gamma 87.49
_symmetry_space_group_name_H-M 'P 1'
_symmetry_Int_Tables_number 1
loop_
_symmetry_equiv_pos_as_xyz
'x,y,z'
loop_
_atom_site_label
_atom_site_type_symbol
_atom_site_fract_x
_atom_site_fract_y
_atom_site_fract_z
_atom_site_occupancy
Na1 Na 0.000 0.000 0.000 1
Mg1 Mg 0.500 0.500 0.000 1
As1 As 0.250 0.750 0.500 1
O1 O 0.218 0.656 0.127 1
O2 O 0.344 0.471 0.562 1
O3 O 0.529 0.091 0.873 1
O4 O 0.909 0.782 0.438 1
```

Computed properties:
Theoretical density (g cm⁻³): 2.8
E_form (uncorrected) (eV/atom): -1.9087
Size of the total moment (μB per formula unit): 0.02

[12]
DFT (PBE) results for a relaxed structure of Na2MgAs4Pd3.

Cell and atoms, written as CIF:
```
data_Na2MgAs4Pd3
_chemical_formula_sum 'Na2 Mg1 As4 Pd3'
_cell_length_a 4.305
_cell_length_b 4.305
_cell_length_c 10.840
_cell_angle_alpha 90.00
_cell_angle_beta 90.00
_cell_angle_gamma 90.00
_symmetry_space_group_name_H-M 'P 1'
_symmetry_Int_Tables_number 1
loop_
_symmetry_equiv_pos_as_xyz
'x,y,z'
loop_
_atom_site_label
_atom_site_type_symbol
_atom_site_fract_x
_atom_site_fract_y
_atom_site_fract_z
_atom_site_occupancy
Na1 Na 0.000 0.500 0.248 1
Na2 Na 0.500 0.000 0.752 1
Mg1 Mg 0.500 0.500 0.000 1
As1 As 0.000 0.000 0.500 1
As2 As 0.000 0.500 0.855 1
As3 As 0.500 0.000 0.145 1
As4 As 0.500 0.500 0.500 1
Pd1 Pd 0.000 0.000 0.000 1
Pd2 Pd 0.000 0.500 0.625 1
Pd3 Pd 0.500 0.000 0.375 1
```

Computed properties:
Theoretical density (g cm⁻³): 5.7
DFT formation energy (eV per atom): -0.43
Size of the total moment (μB per formula unit): 0.00

| no. | total DFT energy (no corrections) (eV/atom) |
| --- | --- |
| 1 | -2.11 |
| 2 | -1.52 |
| 3 | -3.08 |
| 4 | -3.16 |
| 5 | -2.10 |
| 6 | -2.54 |
| 7 | -3.64 |
| 8 | -5.76 |
| 9 | -5.48 |
| 10 | -5.45 |
| 11 | -5.82 |
| 12 | -4.27 |